No. 1
First-principles (PBE) data for Ac6Pm2PrSm after structural relaxation, as listed in Alexandria.

Computed properties:
- magnetization (μB/atom) = 0.0000
- DOS at the Fermi energy (states/eV/f.u.) = 19.3
- calculated volume (Å³/f.u.) = 415.8
- energy of formation from the pure elements (eV per formula unit) = 2.0

Cell: 12.002 7.568 9.487 Å, 90.00 105.17 90.00°
Space group C2/m (No. 12)
Symmetry-distinct sites (fractional):
Ac (0.134, 0.000, 0.415) (multiplicity 4)
Ac (0.167, 0.258, 0.794) (multiplicity 8)
Pm (0.088, 0.500, 0.162) (multiplicity 4)
Pr (0.000, 0.000, 0.000) (multiplicity 2)
Sm (0.000, 0.500, 0.500) (multiplicity 2)


No. 2
First-principles (PBE) data for TiNb2C2 after structural relaxation, as listed in Alexandria.

Computed properties:
- magnetization (μB/atom) = 0.0000
- DOS at the Fermi energy (states/eV/f.u.) = 3.1
- calculated volume (Å³/f.u.) = 65.3
- energy of formation from the pure elements (eV per formula unit) = -2.9

Cell: 5.392 9.475 5.397 Å, 90.00 108.75 90.00°
Space group C2/c (No. 15)
Symmetry-distinct sites (fractional):
Ti (0.000, 0.068, 0.250) (multiplicity 4)
Nb (0.000, 0.249, 0.750) (multiplicity 4)
Nb (0.000, 0.431, 0.250) (multiplicity 4)
C (0.245, 0.083, 0.001) (multiplicity 8)


No. 3
First-principles (PBE) data for YPaZnSn after structural relaxation, as listed in Alexandria.

Computed properties:
- magnetization (μB/atom) = 0.3977
- DOS at the Fermi energy (states/eV/f.u.) = 8.6
- calculated volume (Å³/f.u.) = 99.6
- energy of formation from the pure elements (eV per formula unit) = -0.6

Cell: 7.359 7.359 7.359 Å, 90.00 90.00 90.00°
Space group F-43m (No. 216)
Symmetry-distinct sites (fractional):
Y (0.000, 0.000, 0.000) (multiplicity 4)
Pa (0.000, 0.000, 0.500) (multiplicity 4)
Zn (0.250, 0.250, 0.250) (multiplicity 4)
Sn (0.250, 0.250, 0.750) (multiplicity 4)


No. 4
First-principles (PBE) data for YTlNi2 after structural relaxation, as listed in Alexandria.

Computed properties:
- magnetization (μB/atom) = 0.0000
- DOS at the Fermi energy (states/eV/f.u.) = 2.1
- calculated volume (Å³/f.u.) = 80.0
- energy of formation from the pure elements (eV per formula unit) = 0.8

Cell: 7.288 7.288 6.025 Å, 90.00 90.00 90.00°
Space group I-42d (No. 122)
Symmetry-distinct sites (fractional):
Y (0.000, 0.000, 0.000) (multiplicity 4)
Tl (0.000, 0.000, 0.500) (multiplicity 4)
Ni (0.239, 0.250, 0.625) (multiplicity 8)


No. 5
First-principles (PBE) data for LaPmNdTl after structural relaxation, as listed in Alexandria.

Computed properties:
- magnetization (μB/atom) = 0.3698
- DOS at the Fermi energy (states/eV/f.u.) = 5.5
- calculated volume (Å³/f.u.) = 128.7
- energy of formation from the pure elements (eV per formula unit) = -0.3

Cell: 8.014 8.014 8.014 Å, 90.00 90.00 90.00°
Space group F-43m (No. 216)
Symmetry-distinct sites (fractional):
La (0.000, 0.000, 0.000) (multiplicity 4)
Pm (0.250, 0.250, 0.250) (multiplicity 4)
Nd (0.000, 0.000, 0.500) (multiplicity 4)
Tl (0.250, 0.250, 0.750) (multiplicity 4)


No. 6
First-principles (PBE) data for KPm3Ho2Te6 after structural relaxation, as listed in Alexandria.

Computed properties:
- magnetization (μB/atom) = 0.0000
- DOS at the Fermi energy (states/eV/f.u.) = 4.4
- calculated volume (Å³/f.u.) = 381.2
- ΔE_f (raw) (eV per atom) = -1.33

Cell: 19.547 4.427 9.068 Å, 90.00 103.66 90.00°
Space group C2/m (No. 12)
Symmetry-distinct sites (fractional):
K (0.000, 0.000, 0.000) (multiplicity 2)
Pm (0.000, 0.000, 0.500) (multiplicity 2)
Pm (0.158, 0.500, 0.816) (multiplicity 4)
Ho (0.167, 0.500, 0.340) (multiplicity 4)
Te (0.007, 0.500, 0.261) (multiplicity 4)
Te (0.169, 0.000, 0.576) (multiplicity 4)
Te (0.174, 0.000, 0.092) (multiplicity 4)


No. 7
First-principles (PBE) data for KSi2Br after structural relaxation, as listed in Alexandria.

Computed properties:
- magnetization (μB/atom) = 0.0000
- DOS at the Fermi energy (states/eV/f.u.) = 1.4
- calculated volume (Å³/f.u.) = 124.6
- ΔE_f (raw) (eV per atom) = 0.11

Cell: 4.659 4.659 22.959 Å, 90.00 90.00 90.00°
Space group I-42d (No. 122)
Symmetry-distinct sites (fractional):
K (0.000, 0.000, 0.000) (multiplicity 4)
Si (0.035, 0.250, 0.625) (multiplicity 8)
Br (0.000, 0.000, 0.500) (multiplicity 4)


No. 8
First-principles (PBE) data for Pm2TiAgO6 after structural relaxation, as listed in Alexandria.

Computed properties:
- magnetization (μB/atom) = 0.0000
- DOS at the Fermi energy (states/eV/f.u.) = 3.8
- calculated volume (Å³/f.u.) = 148.0
- ΔE_f (raw) (eV per atom) = -2.44

Cell: 5.531 5.531 4.837 Å, 90.00 90.00 90.00°
Space group P4mm (No. 99)
Symmetry-distinct sites (fractional):
Pm (0.000, 0.500, 0.000) (multiplicity 2)
Ti (0.000, 0.000, 0.599) (multiplicity 1)
Ag (0.500, 0.500, 0.583) (multiplicity 1)
O (0.000, 0.000, 0.224) (multiplicity 1)
O (0.230, 0.230, 0.739) (multiplicity 4)
O (0.500, 0.500, 0.135) (multiplicity 1)